Entry from the Open Quantum Materials Database: a relaxed LiDySn crystal (PBE-GGA).

POSCAR file:
```
LiDySn
1.0
0.000 3.272 3.272
3.272 0.000 3.272
3.272 3.272 0.000
Dy Li Sn
1 1 1
Direct
0.500 0.500 0.500
0.250 0.250 0.250
0.000 0.000 0.000
```

Values from the calculation:
- Space group: F-43m


Entry from the Open Quantum Materials Database: a relaxed Os crystal (PBE-GGA).

POSCAR file:
```
Os
1.0
-1.574 -0.206 -3.712
3.937 -0.697 0.565
-0.744 -3.776 0.525
Os
3
Direct
0.551 0.551 0.000
0.449 0.000 0.333
0.000 0.449 0.667
```

Values from the calculation:
- Space group: P3_121


Entry from the Open Quantum Materials Database: a relaxed NdMgTl2 crystal (PBE-GGA).

POSCAR file:
```
NdMgTl2
1.0
4.816 0.000 0.000
0.000 4.816 0.000
0.000 0.000 4.569
Mg Nd Tl
1 1 2
Direct
0.500 0.500 0.500
0.000 0.000 0.500
0.500 0.000 0.000
0.000 0.500 0.000
```

Values from the calculation:
- Space group: P4/mmm


Entry from the Open Quantum Materials Database: a relaxed Pr2GdMg3Tl2Zn crystal (PBE-GGA).

POSCAR file:
```
Pr2GdMg3Tl2Zn
1.0
4.693 0.000 0.000
0.000 6.575 3.838
0.000 -6.575 3.838
Gd Mg Pr Tl Zn
1 3 2 2 1
Direct
0.000 0.407 0.407
0.500 0.235 0.001
0.500 0.001 0.235
0.500 0.767 0.767
0.000 0.998 0.589
0.000 0.589 0.998
0.500 0.661 0.335
0.500 0.335 0.661
0.000 0.007 0.007
```

Values from the calculation:
- Space group: Amm2


Number 1: VASP energy -0.145 Ha/atom. Number 2: VASP energy -0.363 Ha/atom. Number 3: VASP energy -0.113 Ha/atom. Number 4: VASP energy -0.114 Ha/atom.